Below is Ti2VMo6 after structural relaxation, with properties calculated at the PBE level.

Properties
Fermi-level density of states (states/eV/f.u.): 8.8
Mass density (Mg/m³): 8.5
Energy of formation (eV per formula unit): -0.2
E above lowest polymorph (meV/atom): 113
Crystal system: orthorhombic

a b c (Å): 4.4802 7.8728 8.0233
angles (deg): 90.00 89.98 90.00
Closest atoms and distances in Å follow each position.
Sites, in units of the cell vectors:
Mo: 0.0000 0.6670 0.5752  4 Mo 2.62-2.89, 1 V 2.69, 3 Ti 2.72-2.91
Ti: 0.5000 0.1617 0.2643  10 Mo 2.68-2.93
Mo: 0.5001 0.1680 0.5980  2 Mo 2.62-2.68, 4 Ti 2.68-2.93, 2 V 2.72
Mo: 0.4999 0.8320 0.4020  2 Mo 2.62-2.68, 4 Ti 2.68-2.93, 2 V 2.72
Mo: 0.0001 0.3320 0.0980  2 Mo 2.62-2.68, 4 Ti 2.68-2.93, 2 V 2.72
Ti: 0.0000 0.6617 0.2357  10 Mo 2.68-2.93
Mo: 0.0000 0.3330 0.4248  4 Mo 2.62-2.89, 1 V 2.69, 3 Ti 2.72-2.91
Mo: 0.5000 0.8330 0.0752  4 Mo 2.62-2.89, 1 V 2.69, 3 Ti 2.72-2.91
Mo: 0.0000 0.9987 0.1673  1 V 2.67, 4 Mo 2.68-2.70, 3 Ti 2.70-2.71
Ti: 0.5000 0.8383 0.7357  10 Mo 2.68-2.93
V: 0.0000 0.0000 0.5000  8 Mo 2.67-2.72
Mo: 0.0000 0.0013 0.8327  1 V 2.67, 4 Mo 2.68-2.70, 3 Ti 2.70-2.71
Mo: 0.5000 0.1670 0.9248  4 Mo 2.62-2.89, 1 V 2.69, 3 Ti 2.72-2.91
Mo: 0.9999 0.6680 0.9020  2 Mo 2.62-2.68, 4 Ti 2.68-2.93, 2 V 2.72
Mo: 0.5000 0.5013 0.6673  1 V 2.67, 4 Mo 2.68-2.70, 3 Ti 2.70-2.71
Ti: 0.0000 0.3383 0.7643  10 Mo 2.68-2.93
V: 0.5000 0.5000 0.0000  8 Mo 2.67-2.72
Mo: 0.5000 0.4987 0.3327  1 V 2.67, 4 Mo 2.68-2.70, 3 Ti 2.70-2.71